No. 1
Density functional theory data (GGA-PBE) for a relaxed structure of PrPuHfN3.

## Properties
uncorrected formation energy = -1.10 eV/atom
ρ = 10.504 Mg/m³
total magnetic moment = 0.0 μB/f.u.
total energy = -10.111 eV per atom

a = 3.247 Å, b = 6.945 Å, c = 8.538 Å
α = 96.18°, β = 90.00°, γ = 90.00°
Atoms (fractional coordinates):
Pr: 0.750 0.849 0.840
Pr: 0.250 0.151 0.160
Pu: 0.250 0.116 0.557
Pu: 0.750 0.884 0.443
Hf: 0.250 0.633 0.138
Hf: 0.750 0.367 0.862
N: 0.250 0.691 0.387
N: 0.750 0.863 0.143
N: 0.750 0.413 0.121
N: 0.750 0.309 0.613
N: 0.250 0.587 0.879
N: 0.250 0.137 0.857



No. 2
Density functional theory data (GGA-PBE) for a relaxed structure of K3YNb2O9.

## Properties
uncorrected formation energy = -2.30 eV/atom
ρ = 3.949 Mg/m³
total magnetic moment = 2.1 μB/f.u.
total energy = -7.269 eV per atom

a = 5.957 Å, b = 5.957 Å, c = 7.335 Å
α = 90.00°, β = 90.00°, γ = 120.00°
Site moments in Bohr magnetons follow the coordinates.
Atoms (fractional coordinates):
K: 0.333 0.667 0.675  0.00
K: 0.000 0.000 0.000  0.00
K: 0.667 0.333 0.325  0.00
Y: 0.000 0.000 0.500  -0.02
Nb: 0.333 0.667 0.175  -0.10
Nb: 0.667 0.333 0.825  -0.10
O: 0.825 0.175 0.685  0.14
O: 0.825 0.650 0.685  0.14
O: 0.350 0.175 0.685  0.14
O: 0.650 0.825 0.315  0.14
O: 0.175 0.350 0.315  0.14
O: 0.175 0.825 0.315  0.14
O: 0.500 0.000 0.000  0.35
O: 0.000 0.500 0.000  0.35
O: 0.500 0.500 0.000  0.35



No. 3
Density functional theory data (GGA-PBE) for a relaxed structure of LiEr5Tl8.

## Properties
ρ = 10.836 Mg/m³
total magnetic moment = 0.0 μB/f.u.
total energy = -3.314 eV per atom
formation energy from the elements = -0.1951 eV/atom

a = 7.902 Å, b = 7.902 Å, c = 7.902 Å
α = 109.04°, β = 110.33°, γ = 109.04°
Atoms (fractional coordinates):
Li: 0.250 0.500 0.750
Er: 0.972 0.387 0.122
Er: 0.878 0.849 0.264
Er: 0.736 0.613 0.585
Er: 0.500 0.000 0.500
Er: 0.415 0.151 0.028
Tl: 0.122 0.753 0.017
Tl: 0.983 0.105 0.737
Tl: 0.820 0.245 0.400
Tl: 0.600 0.419 0.845
Tl: 0.426 0.581 0.180
Tl: 0.632 0.895 0.878
Tl: 0.263 0.247 0.368
Tl: 0.155 0.755 0.574



No. 4
Density functional theory data (GGA-PBE) for a relaxed structure of K3Cu.

## Properties
ρ = 1.621 Mg/m³
total magnetic moment = 0.0 μB/f.u.
total energy = -1.521 eV per atom
formation energy from the elements = 0.3261 eV/atom

a = 5.700 Å, b = 5.700 Å, c = 5.700 Å
α = 90.00°, β = 90.00°, γ = 90.00°
Atoms (fractional coordinates):
K: 0.500 0.000 0.500
K: 0.500 0.500 0.000
K: 0.000 0.500 0.500
Cu: 0.000 0.000 0.000